Below is an optimized crystal structure of InHgP3, with properties calculated at the GGA-PBE level.

abc: 5.0550 5.0550 5.0550
angles: 90.00 90.00 90.00
Element x y z (fractional)
P1 0.0000 0.5000 0.0000
P2 0.0000 0.0000 0.5000
P3 0.5000 0.0000 0.0000
Hg1 0.0000 0.0000 0.0000
In1 0.5000 0.5000 0.5000

Properties
- ΔE_f (eV per atom) = 1.222
- final energy (eV/cell) = -13.2
- space-group type = No. 221

---

Below is an optimized crystal structure of TcOs3, with properties calculated at the GGA-PBE level.

abc: 2.7307 9.0580 2.7307
angles: 98.67 60.00 98.67
Element x y z (fractional)
Os1 0.9998 0.9994 0.9998
Os2 0.2500 0.7500 0.2500
Os3 0.5002 0.5006 0.5002
Tc1 0.7500 0.2500 0.7500

Properties
- ΔE_f (eV per atom) = 0.110
- final energy (eV/cell) = -43.6
- space-group type = No. 166

---

Below is an optimized crystal structure of Ba3Bi4Pb2, with properties calculated at the GGA-PBE level.

abc: 5.6592 7.0706 10.5288
angles: 109.55 90.00 113.59
Element x y z (fractional)
Ba1 0.6278 0.2556 0.6887
Ba2 0.0000 0.0000 0.0000
Ba3 0.3722 0.7444 0.3113
Bi1 0.7222 0.4443 0.0534
Bi2 0.2778 0.5557 0.9466
Bi3 0.9148 0.8297 0.6157
Bi4 0.0852 0.1703 0.3843
Pb1 0.6860 0.3720 0.3469
Pb2 0.3140 0.6280 0.6531

Properties
- ΔE_f (eV per atom) = -0.557
- final energy (eV/cell) = -33.7
- space-group type = No. 12

---

Below is an optimized crystal structure of PaFe3Si2, with properties calculated at the GGA-PBE level.

abc: 3.9234 6.6902 7.2023
angles: 117.67 105.80 90.00
Element x y z (fractional)
Pa1 0.0000 0.5000 0.0000
Pa2 0.0000 0.0000 0.0000
Fe1 0.5000 0.2500 0.0000
Fe2 0.5000 0.7500 0.0000
Fe3 0.1755 0.4255 0.3510
Fe4 0.8245 0.0745 0.6490
Fe5 0.8245 0.5745 0.6490
Fe6 0.1755 0.9255 0.3510
Si1 0.6824 0.6823 0.3647
Si2 0.3177 0.8177 0.6353
Si3 0.6823 0.1823 0.3647
Si4 0.3176 0.3177 0.6353

Properties
- raw formation energy (kcal/mol of atoms) = -5.32
- final energy (eV/cell) = -94.2
- space-group type = No. 65

---

Below is an optimized crystal structure of RePIr, with properties calculated at the GGA-PBE level.

abc: 2.8355 2.8355 6.0008
angles: 90.00 90.00 120.00
Element x y z (fractional)
Re1 0.3333 0.6667 0.6416
P1 0.6667 0.3333 0.3406
Ir1 0.0000 0.0000 0.0178

Properties
- ΔE_f (eV per atom) = -0.043
- final energy (eV/cell) = -26.8
- space-group type = No. 156

---

Below is an optimized crystal structure of SrFe2Re, with properties calculated at the GGA-PBE level.

abc: 2.7521 5.3075 4.7793
angles: 90.00 90.00 90.00
Element x y z (fractional)
Fe1 0.0000 0.0000 0.0000
Fe2 0.5000 0.5000 0.0000
Re1 0.5000 0.0000 0.5000
Sr1 0.0000 0.5000 0.5000

Properties
- ΔE_f (eV per atom) = 1.252
- final energy (eV/cell) = -26.0
- space-group type = No. 47

---

Below is an optimized crystal structure of CaBeGe2B, with properties calculated at the GGA-PBE level.

abc: 5.4311 4.6616 5.4311
angles: 90.00 90.00 90.00
Element x y z (fractional)
Be1 0.5000 0.5000 0.5000
Ge1 0.0000 0.0000 0.5000
Ge2 0.5000 0.0000 0.0000
B1 0.0000 0.5000 0.0000
Ca1 0.0000 0.0000 0.0000

Properties
- ΔE_f (eV per atom) = 1.987
- final energy (eV/cell) = -11.7
- space-group type = No. 123

---

Below is an optimized crystal structure of CaAc5Tl6, with properties calculated at the GGA-PBE level.

abc: 5.7806 10.0468 10.0623
angles: 60.05 73.34 54.95
Element x y z (fractional)
Ca1 0.0000 0.0000 0.0000
Ac1 0.5000 0.1644 0.6712
Ac2 0.0000 0.3322 0.3355
Ac3 0.5000 0.5000 0.0000
Ac4 0.0000 0.6678 0.6645
Ac5 0.5000 0.8356 0.3288
Tl1 0.7560 0.0827 0.3243
Tl2 0.2440 0.5930 0.3243
Tl3 0.2592 0.2407 0.0000
Tl4 0.7408 0.7593 0.0000
Tl5 0.7560 0.4070 0.6757
Tl6 0.2440 0.9173 0.6757

Properties
- ΔE_f (eV per atom) = -0.368
- final energy (eV/cell) = -41.2
- space-group type = No. 12